ScTlGa4: relaxed, GGA-PBE.

N(E_F) ... 0.8018 states/eV per atom
VASP energy ... -21.51 eV per cell
M_tot ... 0.0 Bohr magnetons per cell

a = 5.5428 Å, b = 5.5428 Å, c = 5.5428 Å
α = 60.00°, β = 60.00°, γ = 60.00°
Last column: nearest neighbours and their distance in Å.
Fractional coordinates of all 6 atoms:
Sc (0.0000, 0.0000, 0.0000)  12 Ga 3.25, 4 Tl 3.39
Tl (0.2500, 0.2500, 0.2500)  12 Ga 3.25, 4 Sc 3.39
Ga (0.6257, 0.6257, 0.1228)  6 Ga 2.76-2.79
Ga (0.6257, 0.1228, 0.6257)  6 Ga 2.76-2.79
Ga (0.6257, 0.6257, 0.6257)  6 Ga 2.76-2.79
Ga (0.1228, 0.6257, 0.6257)  6 Ga 2.76-2.79